(1)
Below is an optimized crystal structure of Bi6PtPbI12, with properties calculated at the GGA-PBE level.

a = 10.1077 Å, b = 10.1077 Å, c = 10.1077 Å
α = 107.16°, β = 107.16°, γ = 107.16°
Closest atoms and distances in Å follow each position.
Positions (direct):
I: 0.6100 0.5521 0.8559  2 Bi 3.24-3.26, 1 Pb 3.26
I: 0.0641 0.7072 0.2417  2 Bi 3.12-3.13
Bi: 0.0833 0.0349 0.2981  1 Pt 2.76
Bi: 0.9167 0.9651 0.7019  1 Pt 2.76
Bi: 0.7019 0.9167 0.9651  1 Pt 2.76
I: 0.4479 0.1441 0.3900  2 Bi 3.24-3.26, 1 Pb 3.26
I: 0.2928 0.7583 0.9359  2 Bi 3.12-3.13
I: 0.3900 0.4479 0.1441  2 Bi 3.24-3.26, 1 Pb 3.26
I: 0.8559 0.6100 0.5521  2 Bi 3.24-3.26, 1 Pb 3.26
I: 0.7072 0.2417 0.0641  2 Bi 3.12-3.13
I: 0.7583 0.9359 0.2928  2 Bi 3.12-3.13
I: 0.9359 0.2928 0.7583  2 Bi 3.12-3.13
I: 0.5521 0.8559 0.6100  2 Bi 3.24-3.26, 1 Pb 3.26
I: 0.1441 0.3900 0.4479  2 Bi 3.24-3.26, 1 Pb 3.26
Bi: 0.2981 0.0833 0.0349  1 Pt 2.76
Bi: 0.9651 0.7019 0.9167  1 Pt 2.76
Pt: 0.0000 0.0000 0.0000  6 Bi 2.76
Bi: 0.0349 0.2981 0.0833  1 Pt 2.76
Pb: 0.5000 0.5000 0.5000  6 I 3.26
I: 0.2417 0.0641 0.7072  2 Bi 3.12-3.13

Values from the calculation:
V: 856 Å³/f.u.
space-group type: R-3

***

(2)
Below is an optimized crystal structure of Na4Fe2Hg, with properties calculated at the GGA-PBE level.

a = 7.6034 Å, b = 7.6034 Å, c = 7.6034 Å
α = 37.11°, β = 37.11°, γ = 37.11°
Closest atoms and distances in Å follow each position.
Positions (direct):
Na: 0.4345 0.4345 0.4345  4 Na 2.78-2.98, 3 Fe 2.96
Fe: 0.8533 0.8533 0.8533  4 Na 2.84-2.96, 3 Fe 2.92, 1 Hg 3.11
Na: 0.2807 0.2807 0.2807  1 Fe 2.84, 3 Na 2.98, 3 Hg 3.01
Na: 0.7193 0.7193 0.7193  1 Fe 2.84, 3 Na 2.98, 3 Hg 3.01
Hg: 0.0000 0.0000 0.0000  6 Na 3.01, 2 Fe 3.11
Na: 0.5655 0.5655 0.5655  4 Na 2.78-2.98, 3 Fe 2.96
Fe: 0.1467 0.1467 0.1467  4 Na 2.84-2.96, 3 Fe 2.92, 1 Hg 3.11

Values from the calculation:
V: 143 Å³/f.u.
space-group type: R-3m

***

(3)
Below is an optimized crystal structure of Dy2YCo2Ni7, with properties calculated at the GGA-PBE level.

a = 8.6010 Å, b = 8.6010 Å, c = 8.6010 Å
α = 33.44°, β = 33.44°, γ = 33.44°
Closest atoms and distances in Å follow each position.
Positions (direct):
Ni: 0.5000 0.5000 0.5000  6 Ni 2.52
Ni: 0.5822 0.0807 0.5822  2 Co 2.45, 5 Ni 2.47-2.52
Ni: 0.4178 0.4178 0.9193  2 Co 2.45, 5 Ni 2.47-2.52
Co: 0.6667 0.6667 0.6667  6 Ni 2.45
Ni: 0.9193 0.4178 0.4178  2 Co 2.45, 5 Ni 2.47-2.52
Ni: 0.4178 0.9193 0.4178  2 Co 2.45, 5 Ni 2.47-2.52
Y: 0.0000 0.0000 0.0000  6 Co 2.86, 12 Ni 3.17
Co: 0.3333 0.3333 0.3333  6 Ni 2.45
Ni: 0.0807 0.5822 0.5822  2 Co 2.45, 5 Ni 2.47-2.52
Dy: 0.8613 0.8613 0.8613  12 Ni 2.84-3.09, 3 Dy 3.16
Ni: 0.5822 0.5822 0.0807  2 Co 2.45, 5 Ni 2.47-2.52
Dy: 0.1387 0.1387 0.1387  12 Ni 2.84-3.09, 3 Dy 3.16

Values from the calculation:
V: 172 Å³/f.u.
space-group type: R-3m
calculated formation energy: -347 meV/atom

***

(4)
Below is an optimized crystal structure of RbLiGdTe3, with properties calculated at the GGA-PBE level.

a = 8.3308 Å, b = 8.3308 Å, c = 11.7379 Å
α = 90.00°, β = 90.00°, γ = 148.97°
Closest atoms and distances in Å follow each position.
Positions (direct):
Rb: 0.2549 0.7451 0.7500  8 Te 3.69-4.00
Te: 0.3710 0.6290 0.4489  1 Li 2.76
Te: 0.6290 0.3710 0.9489  1 Li 2.76
Gd: 0.0000 0.0000 0.0000  6 Te 3.10
Li: 0.4626 0.5374 0.2500  4 Te 2.74-2.76
Te: 0.9378 0.0622 0.7500  2 Li 2.74
Te: 0.6290 0.3710 0.5511  1 Li 2.76
Te: 0.0622 0.9378 0.2500  2 Li 2.74
Gd: 0.0000 0.0000 0.5000  6 Te 3.10
Rb: 0.7451 0.2549 0.2500  8 Te 3.69-4.00
Te: 0.3710 0.6290 0.0511  1 Li 2.76
Li: 0.5374 0.4626 0.7500  4 Te 2.74-2.76

Values from the calculation:
V: 210 Å³/f.u.
space-group type: Cmcm

***

(5)
Below is an optimized crystal structure of CdSbMo4C2, with properties calculated at the GGA-PBE level.

a = 3.1616 Å, b = 3.1616 Å, c = 13.7352 Å
α = 90.00°, β = 90.00°, γ = 120.00°
Closest atoms and distances in Å follow each position.
Positions (direct):
Mo: 0.6667 0.3333 0.6747  3 C 2.12
Mo: 0.3333 0.6667 0.1635  3 C 2.15
Sb: 0.6667 0.3333 0.0000  6 Mo 2.89, 6 Sb 3.16
C: 0.0000 0.0000 0.2467  6 Mo 2.12-2.15
Cd: 0.3333 0.6667 0.5000  6 Mo 3.01, 6 Cd 3.16
C: 0.0000 0.0000 0.7533  6 Mo 2.12-2.15
Mo: 0.6667 0.3333 0.3253  3 C 2.12
Mo: 0.3333 0.6667 0.8365  3 C 2.15

Values from the calculation:
V: 119 Å³/f.u.
space-group type: P-6m2

***

(6)
Below is an optimized crystal structure of NbCoOs, with properties calculated at the GGA-PBE level.

a = 4.1496 Å, b = 4.1496 Å, c = 4.1496 Å
α = 60.00°, β = 60.00°, γ = 60.00°
Closest atoms and distances in Å follow each position.
Positions (direct):
Os: 0.5000 0.5000 0.5000  4 Nb 2.54
Nb: 0.2500 0.2500 0.2500  4 Co 2.54, 4 Os 2.54
Co: 0.0000 0.0000 0.0000  4 Nb 2.54

Values from the calculation:
excess energy over the best structure of this formula in the dataset: 255.2 meV/atom
V: 51 Å³/f.u.
space-group type: F-43m
calculated formation energy: 661 meV/atom

***

(7)
Below is an optimized crystal structure of LiCuOsPb, with properties calculated at the GGA-PBE level.

a = 4.4185 Å, b = 4.4185 Å, c = 4.4185 Å
α = 60.00°, β = 60.00°, γ = 60.00°
Closest atoms and distances in Å follow each position.
Positions (direct):
Pb: 0.0000 0.0000 0.0000  4 Cu 2.71, 4 Li 2.71
Cu: 0.7500 0.7500 0.7500  4 Pb 2.71, 4 Os 2.71
Li: 0.2500 0.2500 0.2500  4 Os 2.71, 4 Pb 2.71
Os: 0.5000 0.5000 0.5000  4 Li 2.71, 4 Cu 2.71

Values from the calculation:
excess energy over the best structure of this formula in the dataset: 49.0 meV/atom
V: 61 Å³/f.u.
space-group type: F-43m

***

(8)
Below is an optimized crystal structure of LuPtAu2, with properties calculated at the GGA-PBE level.

a = 4.7170 Å, b = 4.7170 Å, c = 4.7170 Å
α = 60.00°, β = 60.00°, γ = 60.00°
Closest atoms and distances in Å follow each position.
Positions (direct):
Lu: 0.5000 0.5000 0.5000  4 Pt 2.89, 4 Au 2.89
Au: 0.2500 0.2500 0.2500  4 Lu 2.89, 4 Au 2.89
Pt: 0.7500 0.7500 0.7500  4 Lu 2.89, 4 Au 2.89
Au: 0.0000 0.0000 0.0000  4 Pt 2.89, 4 Au 2.89

Values from the calculation:
V: 74 Å³/f.u.
space-group type: F-43m
calculated formation energy: -722 meV/atom

***

Total magnetic moment, respectively: 0.004, 5.388, 3.814, 0.007, 0.010, 0.008, 0.005, 0.000 μB/f.u..
Calculated total energy, respectively: -61.528, -18.735, -73.016, -46.867, -66.196, -26.444, -18.319, -20.000 eV/cell.